(1)
{
  "formula": "DyZn4Pd",
  "functional": "GGA-PBE",
  "state": "optimized geometry",
  "lattice_angstrom": [[0.000, 3.682, 3.682], [3.682, 0.000, 3.682], [3.682, 3.682, 0.000]],
  "species": ["Dy", "Zn", "Zn", "Zn", "Zn", "Pd"],
  "fractional_positions": [[0.000, 0.000, 0.000], [0.128, 0.624, 0.624], [0.624, 0.128, 0.624], [0.624, 0.624, 0.128], [0.624, 0.624, 0.624], [0.250, 0.250, 0.250]],
  "total_energy_ev_per_fu": -17.2,
  "relative_energy_ev_per_atom": 0.011,
  "formation_energy_ev_per_fu": -2.304,
  "space_group": "F-43m (216)"
}


(2)
{
  "formula": "Dy4Zn2Pd",
  "functional": "GGA-PBE",
  "state": "optimized geometry",
  "lattice_angstrom": [[7.100, 0.000, 0.000], [0.000, 9.932, 0.000], [0.000, 0.000, 4.933]],
  "species": ["Dy", "Dy", "Dy", "Dy", "Dy", "Dy", "Dy", "Dy", "Zn", "Zn", "Zn", "Zn", "Pd", "Pd"],
  "fractional_positions": [[0.248, 0.000, 0.000], [0.250, 0.250, 0.500], [0.250, 0.750, 0.500], [0.252, 0.500, 0.000], [0.748, 0.500, 0.000], [0.750, 0.250, 0.500], [0.750, 0.750, 0.500], [0.752, 0.000, 0.000], [0.000, 0.253, 0.000], [0.000, 0.747, 0.000], [0.500, 0.247, 0.000], [0.500, 0.753, 0.000], [0.000, 0.000, 0.500], [0.500, 0.500, 0.500]],
  "total_energy_ev_per_fu": -28.7,
  "formation_energy_ev_per_fu": -2.522,
  "space_group": "Cmmm (65)"
}


(3)
{
  "formula": "Dy3ZnPd",
  "functional": "GGA-PBE",
  "state": "optimized geometry",
  "lattice_angstrom": [[5.896, -5.499, 0.000], [5.896, 5.499, 0.000], [-0.003, 0.000, 7.935]],
  "species": ["Dy", "Dy", "Dy", "Dy", "Dy", "Dy", "Dy", "Dy", "Dy", "Dy", "Dy", "Dy", "Zn", "Zn", "Zn", "Zn", "Pd", "Pd", "Pd", "Pd"],
  "fractional_positions": [[0.001, 0.803, 0.583], [0.074, 0.425, 0.799], [0.197, 0.999, 0.917], [0.303, 0.498, 0.416], [0.425, 0.074, 0.299], [0.498, 0.303, 0.916], [0.502, 0.697, 0.084], [0.575, 0.926, 0.701], [0.697, 0.502, 0.584], [0.803, 0.001, 0.083], [0.926, 0.575, 0.201], [0.999, 0.197, 0.417], [0.168, 0.832, 0.250], [0.334, 0.666, 0.750], [0.666, 0.334, 0.250], [0.832, 0.168, 0.750], [0.190, 0.306, 0.128], [0.306, 0.190, 0.628], [0.694, 0.810, 0.372], [0.810, 0.694, 0.872]],
  "total_energy_ev_per_fu": -22.0,
  "relative_energy_ev_per_atom": 0.120,
  "formation_energy_ev_per_fu": -1.769,
  "space_group": "C2/c (15)"
}


(4)
{
  "formula": "Dy4ZnPd",
  "functional": "GGA-PBE",
  "state": "optimized geometry",
  "lattice_angstrom": [[6.930, 0.000, 0.000], [0.000, 6.930, 0.000], [-0.008, 0.000, 6.982]],
  "species": ["Dy", "Dy", "Dy", "Dy", "Dy", "Dy", "Dy", "Dy", "Zn", "Zn", "Pd", "Pd"],
  "fractional_positions": [[0.250, 0.250, 0.247], [0.250, 0.250, 0.753], [0.250, 0.750, 0.247], [0.250, 0.750, 0.753], [0.750, 0.250, 0.247], [0.750, 0.250, 0.753], [0.750, 0.750, 0.247], [0.750, 0.750, 0.753], [0.000, 0.000, 0.500], [0.500, 0.500, 0.500], [0.000, 0.500, 0.000], [0.500, 0.000, 0.000]],
  "total_energy_ev_per_fu": -26.2,
  "relative_energy_ev_per_atom": 0.198,
  "formation_energy_ev_per_fu": -1.352,
  "space_group": "C2/m (12)"
}


(5)
{
  "formula": "DyZn9Pd2",
  "functional": "GGA-PBE",
  "state": "optimized geometry",
  "lattice_angstrom": [[-5.274, 5.274, 3.468], [5.274, -5.274, 3.468], [5.274, 5.274, -3.468]],
  "species": ["Dy", "Dy", "Zn", "Zn", "Zn", "Zn", "Zn", "Zn", "Zn", "Zn", "Zn", "Zn", "Zn", "Zn", "Zn", "Zn", "Zn", "Zn", "Zn", "Zn", "Pd", "Pd", "Pd", "Pd"],
  "fractional_positions": [[0.375, 0.625, 0.750], [0.625, 0.375, 0.250], [0.125, 0.875, 0.250], [0.132, 0.555, 0.336], [0.132, 0.796, 0.577], [0.204, 0.281, 0.336], [0.204, 0.868, 0.923], [0.281, 0.204, 0.836], [0.281, 0.445, 0.077], [0.445, 0.281, 0.577], [0.445, 0.868, 0.164], [0.555, 0.132, 0.836], [0.555, 0.719, 0.423], [0.719, 0.555, 0.923], [0.719, 0.796, 0.164], [0.796, 0.132, 0.077], [0.796, 0.719, 0.664], [0.868, 0.204, 0.423], [0.868, 0.445, 0.664], [0.875, 0.125, 0.750], [0.000, 0.000, 0.000], [0.000, 0.000, 0.500], [0.000, 0.500, 0.000], [0.500, 0.000, 0.500]],
  "total_energy_ev_per_fu": -30.6,
  "relative_energy_ev_per_atom": 0.000,
  "formation_energy_ev_per_fu": -4.162,
  "space_group": "I4_1/amd (141)"
}


(6)
{
  "formula": "Dy2Zn3Pd2",
  "functional": "GGA-PBE",
  "state": "optimized geometry",
  "lattice_angstrom": [[9.678, 0.000, 0.000], [0.000, 4.295, 0.000], [-2.531, 0.000, 6.424]],
  "species": ["Dy", "Dy", "Dy", "Dy", "Zn", "Zn", "Zn", "Zn", "Zn", "Zn", "Pd", "Pd", "Pd", "Pd"],
  "fractional_positions": [[0.145, 0.000, 0.266], [0.355, 0.500, 0.734], [0.645, 0.500, 0.266], [0.855, 0.000, 0.734], [0.000, 0.500, 0.500], [0.121, 0.500, 0.937], [0.379, 0.000, 0.063], [0.500, 0.000, 0.500], [0.621, 0.000, 0.937], [0.879, 0.500, 0.063], [0.141, 0.000, 0.703], [0.359, 0.500, 0.297], [0.641, 0.500, 0.703], [0.859, 0.000, 0.297]],
  "total_energy_ev_per_fu": -28.0,
  "formation_energy_ev_per_fu": -4.591,
  "space_group": "C2/m (12)"
}


(7)
{
  "formula": "Dy3Zn2Pd",
  "functional": "GGA-PBE",
  "state": "optimized geometry",
  "lattice_angstrom": [[5.010, 0.000, 0.000], [-2.505, 4.339, 0.000], [0.000, 0.000, 6.146]],
  "species": ["Dy", "Dy", "Dy", "Zn", "Zn", "Pd"],
  "fractional_positions": [[0.000, 0.000, 0.000], [0.333, 0.667, 0.659], [0.667, 0.333, 0.341], [0.333, 0.667, 0.150], [0.667, 0.333, 0.850], [0.000, 0.000, 0.500]],
  "total_energy_ev_per_fu": -24.7,
  "relative_energy_ev_per_atom": 0.008,
  "formation_energy_ev_per_fu": -3.193,
  "space_group": "P-3m1 (164)"
}


(8)
{
  "formula": "Dy3Zn8Pd3",
  "functional": "GGA-PBE",
  "state": "optimized geometry",
  "lattice_angstrom": [[-2.090, 4.628, 6.525], [2.090, -4.628, 6.525], [2.090, 4.628, -6.525]],
  "species": ["Dy", "Dy", "Dy", "Zn", "Zn", "Zn", "Zn", "Zn", "Zn", "Zn", "Zn", "Pd", "Pd", "Pd"],
  "fractional_positions": [[0.000, 0.000, 0.000], [0.328, 0.328, 0.000], [0.672, 0.672, 0.000], [0.044, 0.681, 0.363], [0.150, 0.875, 0.275], [0.318, 0.681, 0.637], [0.401, 0.125, 0.275], [0.599, 0.875, 0.725], [0.682, 0.319, 0.363], [0.850, 0.125, 0.725], [0.956, 0.319, 0.637], [0.266, 0.500, 0.766], [0.500, 0.000, 0.500], [0.734, 0.500, 0.234]],
  "total_energy_ev_per_fu": -46.8,
  "formation_energy_ev_per_fu": -7.216,
  "space_group": "Immm (71)"
}


(9)
{
  "formula": "Dy8ZnPd2",
  "functional": "GGA-PBE",
  "state": "optimized geometry",
  "lattice_angstrom": [[8.831, -2.548, 0.000], [8.831, 2.548, 0.000], [-1.932, 0.000, 6.510]],
  "species": ["Dy", "Dy", "Dy", "Dy", "Dy", "Dy", "Dy", "Dy", "Zn", "Pd", "Pd"],
  "fractional_positions": [[0.032, 0.032, 0.280], [0.200, 0.200, 0.825], [0.329, 0.329, 0.517], [0.407, 0.407, 0.036], [0.593, 0.593, 0.964], [0.671, 0.671, 0.483], [0.800, 0.800, 0.175], [0.968, 0.968, 0.720], [0.500, 0.500, 0.500], [0.183, 0.183, 0.224], [0.817, 0.817, 0.776]],
  "total_energy_ev_per_fu": -52.6,
  "relative_energy_ev_per_atom": 0.000,
  "formation_energy_ev_per_fu": -4.117,
  "space_group": "C2/m (12)"
}


(10)
{
  "formula": "Dy2ZnPd6",
  "functional": "GGA-PBE",
  "state": "optimized geometry",
  "lattice_angstrom": [[6.780, -3.836, 0.000], [6.780, 3.836, 0.000], [-0.886, 0.000, 3.370]],
  "species": ["Dy", "Dy", "Zn", "Pd", "Pd", "Pd", "Pd", "Pd", "Pd"],
  "fractional_positions": [[0.152, 0.152, 0.153], [0.848, 0.848, 0.847], [0.500, 0.500, 0.500], [0.129, 0.539, 0.334], [0.260, 0.740, 0.000], [0.461, 0.871, 0.666], [0.539, 0.129, 0.334], [0.740, 0.260, 0.000], [0.871, 0.461, 0.666]],
  "total_energy_ev_per_fu": -46.2,
  "formation_energy_ev_per_fu": -4.555,
  "space_group": "C2/m (12)"
}


(11)
{
  "formula": "DyZn2Pd",
  "functional": "GGA-PBE",
  "state": "optimized geometry",
  "lattice_angstrom": [[3.339, 0.000, 0.000], [0.000, 3.339, 0.000], [0.000, 0.000, 6.565]],
  "species": ["Dy", "Zn", "Zn", "Pd"],
  "fractional_positions": [[0.000, 0.000, 0.000], [0.500, 0.500, 0.300], [0.500, 0.500, 0.700], [0.000, 0.000, 0.500]],
  "total_energy_ev_per_fu": -14.1,
  "formation_energy_ev_per_fu": -1.714,
  "space_group": "P4/mmm (123)"
}


(12)
{
  "formula": "DyZn4Pd8",
  "functional": "GGA-PBE",
  "state": "optimized geometry",
  "lattice_angstrom": [[-4.414, 4.414, 2.655], [4.414, -4.414, 2.655], [4.414, 4.414, -2.655]],
  "species": ["Dy", "Zn", "Zn", "Zn", "Zn", "Pd", "Pd", "Pd", "Pd", "Pd", "Pd", "Pd", "Pd"],
  "fractional_positions": [[0.000, 0.000, 0.000], [0.000, 0.000, 0.500], [0.000, 0.500, 0.000], [0.500, 0.000, 0.000], [0.500, 0.500, 0.500], [0.000, 0.340, 0.340], [0.000, 0.660, 0.660], [0.278, 0.500, 0.778], [0.340, 0.000, 0.340], [0.500, 0.278, 0.778], [0.500, 0.722, 0.222], [0.660, 0.000, 0.660], [0.722, 0.500, 0.222]],
  "total_energy_ev_per_fu": -58.5,
  "formation_energy_ev_per_fu": -7.289,
  "space_group": "I4/mmm (139)"
}